Record 1
Here is a relaxed CsTl6Sb2 crystal from Alexandria via LeMat-Bulk. Energies are from PBE-GGA.

```
CsTl6Sb2
1.0
-2.630 4.555 0.854
-4.524 -2.310 -1.610
-2.113 -3.193 10.520
Tl Sb Cs
6 2 1
Direct
0.000 0.500 0.700
0.500 0.500 0.500
0.500 0.000 0.700
0.500 0.000 0.300
0.000 0.500 0.300
0.000 0.000 0.500
0.500 0.500 0.869
0.500 0.500 0.131
0.000 0.000 0.000
```

Summary:
- raw total energy (eV for the cell shown) = -24.2
- space group = P4/mmm (123)

***

Record 2
Here is a relaxed Cs3Tl4Sb4 crystal from Alexandria via LeMat-Bulk. Energies are from PBE-GGA.

```
Cs3Tl4Sb4
1.0
-4.582 -0.484 3.627
3.244 -0.981 3.989
-0.229 13.800 7.106
Sb Tl Cs
4 4 3
Direct
0.695 0.195 0.608
0.305 0.805 0.392
0.507 0.454 0.092
0.493 0.546 0.908
0.272 0.905 0.190
0.242 0.245 0.509
0.728 0.096 0.810
0.758 0.755 0.491
0.191 0.648 0.703
0.000 0.000 0.000
0.809 0.352 0.297
```

Summary:
- raw total energy (eV for the cell shown) = -31.1
- space group = P-1 (2)

***

Record 3
Here is a relaxed CsTlSb crystal from Alexandria via LeMat-Bulk. Energies are from PBE-GGA.

```
CsTlSb
1.0
-0.136 1.821 5.409
-4.982 0.368 2.763
-1.204 -3.659 4.214
Tl Sb Cs
1 1 1
Direct
0.250 0.250 0.250
0.000 0.000 0.000
0.500 0.500 0.500
```

Summary:
- raw total energy (eV for the cell shown) = -7.5
- space group = F-43m (216)

***

Record 4
Here is a relaxed CsTl4Sb2 crystal from Alexandria via LeMat-Bulk. Energies are from PBE-GGA.

```
CsTl4Sb2
1.0
5.240 0.000 0.000
0.000 5.267 0.000
0.000 -2.633 9.333
Cs Tl Sb
1 4 2
Direct
0.000 0.000 0.000
0.000 0.317 0.634
0.500 0.818 0.637
0.500 0.182 0.363
0.000 0.683 0.366
0.500 0.578 0.155
0.500 0.422 0.845
```

Summary:
- raw total energy (eV for the cell shown) = -19.5
- space group = Cmmm (65)

***

Record 5
Here is a relaxed Cs2Tl3Sb2 crystal from Alexandria via LeMat-Bulk. Energies are from PBE-GGA.

```
Cs2Tl3Sb2
1.0
4.866 0.000 0.000
-2.433 7.291 -0.271
0.000 -3.706 8.271
Tl Sb Cs
3 2 2
Direct
0.633 0.267 0.432
0.367 0.733 0.568
0.500 0.000 0.000
0.835 0.670 0.762
0.165 0.330 0.238
0.126 0.252 0.766
0.874 0.748 0.234
```

Summary:
- raw total energy (eV for the cell shown) = -18.6
- space group = C2/m (12)

***

Record 6
Here is a relaxed Cs3TlSb2 crystal from Alexandria via LeMat-Bulk. Energies are from PBE-GGA.

```
Cs3TlSb2
1.0
-4.476 -2.361 7.723
-1.425 -7.239 -3.039
10.002 2.050 0.904
Cs Sb Tl
6 4 2
Direct
0.500 0.250 0.000
0.500 0.750 0.000
0.371 0.673 0.346
0.975 0.173 0.346
0.629 0.327 0.654
0.025 0.827 0.654
0.091 0.406 0.812
0.279 0.094 0.188
0.721 0.906 0.812
0.909 0.594 0.188
0.000 0.750 0.000
0.000 0.250 0.000
```

Summary:
- raw total energy (eV for the cell shown) = -30.6
- space group = Ibam (72)